DFT (PBE with a Hubbard U) results for GaNiOF2 after structural relaxation.

```
data_GaNiOF2
_symmetry_space_group_name_H-M 'P 4/m m m'
_symmetry_Int_Tables_number 123
_symmetry_space_group_name_Hall '-P 4 2'
_cell_length_a 3.9655
_cell_length_b 3.9655
_cell_length_c 3.6941
_cell_angle_alpha 90.00
_cell_angle_beta 90.00
_cell_angle_gamma 90.00
loop_
_atom_site_label
_atom_site_fract_x
_atom_site_fract_y
_atom_site_fract_z
Ga1 0.0000 0.0000 0.0000
Ni1 0.5000 0.5000 0.5000
O1 0.0000 0.0000 0.5000
F1 0.0000 0.5000 0.0000
```

## Properties
Theoretical density, g/cm³: 5.2
Distance to the lowest polymorph of the same formula, meV/atom: 0
Uncorrected energy, eV/atom: -4.274